(1)
LiPuB | GGA-PBE | relaxed

## Properties
The relative energy among the computed polymorphs comes out at 0.0000 eV per atom. The crystal system is cubic.

abc: 4.1471 4.1471 4.1471
angles: 60.00 60.00 60.00
Fractional coordinates of all 3 atoms:
Li 0.0000 0.0000 0.0000
Pu 0.5000 0.5000 0.5000
B 0.2500 0.2500 0.2500

(2)
Tb2YZn3AgAu2 | GGA-PBE | relaxed

## Properties
For the formation energy, the calculation gives -0.58 eV per atom. The crystal system is orthorhombic.

abc: 3.8400 7.5639 7.5639
angles: 120.02 90.00 90.00
Fractional coordinates of all 9 atoms:
Tb 0.0000 0.2030 0.7970
Tb 0.0000 0.7970 0.2030
Y 0.0000 0.6086 0.6086
Zn 0.5000 0.2034 0.4618
Zn 0.5000 0.4618 0.2034
Zn 0.5000 0.9434 0.9434
Ag 0.0000 0.2024 0.2024
Au 0.5000 0.5360 0.8698
Au 0.5000 0.8698 0.5360

(3)
Pr2NdMg3In2Hg | GGA-PBE | relaxed

## Properties
For the total energy, the calculation gives -3.185 eV/atom. The crystal system is orthorhombic.

abc: 4.7451 7.7156 7.7156
angles: 119.88 90.00 90.00
Fractional coordinates of all 9 atoms:
Pr 0.0000 0.2081 0.7919
Pr 0.0000 0.7919 0.2081
Nd 0.0000 0.3755 0.3755
Mg 0.5000 0.0295 0.0295
Mg 0.5000 0.5533 0.7914
Mg 0.5000 0.7914 0.5533
In 0.5000 0.1260 0.4579
In 0.5000 0.4579 0.1260
Hg 0.0000 0.7899 0.7899

(4)
MgSc4Ir5 | GGA-PBE | relaxed

## Properties
For the total energy, the calculation gives -8.029 eV/atom. The crystal system is tetragonal.

abc: 3.2052 3.2052 15.9251
angles: 90.00 90.00 90.00
Fractional coordinates of all 10 atoms:
Mg 0.0000 0.0000 0.0000
Sc 0.0000 0.0000 0.1930
Sc 0.0000 0.0000 0.3977
Sc 0.0000 0.0000 0.6023
Sc 0.0000 0.0000 0.8070
Ir 0.5000 0.5000 0.0965
Ir 0.5000 0.5000 0.2976
Ir 0.5000 0.5000 0.5000
Ir 0.5000 0.5000 0.7024
Ir 0.5000 0.5000 0.9035

(5)
HoPd | GGA-PBE | relaxed

## Properties
For the formation energy, the calculation gives -0.91 eV per atom. The crystal system is cubic.

abc: 3.4777 3.4777 3.4777
angles: 90.00 90.00 90.00
Fractional coordinates of all 2 atoms:
Ho 0.0000 0.0000 0.0000
Pd 0.5000 0.5000 0.5000

(6)
DyHo2Tl3CuAg2 | GGA-PBE | relaxed

## Properties
For the total energy, the calculation gives -3.647 eV/atom. The crystal system is orthorhombic.

abc: 3.8583 7.8865 7.8865
angles: 120.05 90.00 90.00
Fractional coordinates of all 9 atoms:
Dy 0.0000 0.0000 0.0000
Ho 0.0000 0.2041 0.6019
Ho 0.0000 0.6019 0.2041
Tl 0.5000 0.3438 0.3438
Tl 0.5000 0.6017 0.8596
Tl 0.5000 0.8596 0.6017
Cu 0.0000 0.6015 0.6015
Ag 0.5000 0.2692 0.9348
Ag 0.5000 0.9348 0.2692

(7)
Ho3Cd3Ga2Au | GGA-PBE | relaxed

## Properties
For the total energy, the calculation gives -3.425 eV/atom. The crystal system is hexagonal.

abc: 7.4475 7.4475 4.1641
angles: 90.00 90.00 120.00
Fractional coordinates of all 9 atoms:
Ho 0.0000 0.4092 0.0000
Ho 0.4092 0.0000 0.0000
Ho 0.5908 0.5908 0.0000
Cd 0.0000 0.7398 0.5000
Cd 0.2602 0.2602 0.5000
Cd 0.7398 0.0000 0.5000
Ga 0.3333 0.6667 0.5000
Ga 0.6667 0.3333 0.5000
Au 0.0000 0.0000 0.0000

(8)
Ag25Bi3O18 | GGA-PBE | relaxed

## Properties
For the total energy, the calculation gives -4.014 eV/atom. The crystal system is trigonal.

abc: 11.6610 11.6610 6.2639
angles: 90.00 90.00 120.00
Fractional coordinates of all 46 atoms:
Ag 0.0000 0.0000 0.0000
Ag 0.0000 0.5000 0.0000
Ag 0.0000 0.5000 0.5000
Ag 0.0185 0.2700 0.1581
Ag 0.0490 0.7422 0.3314
Ag 0.2344 0.4842 0.7476
Ag 0.2498 0.7656 0.7476
Ag 0.2514 0.9815 0.1581
Ag 0.2578 0.3068 0.3314
Ag 0.2700 0.2514 0.8419
Ag 0.3068 0.0490 0.6686
Ag 0.4842 0.2498 0.2524
Ag 0.5000 0.0000 0.0000
Ag 0.5000 0.0000 0.5000
Ag 0.5000 0.5000 0.0000
Ag 0.5000 0.5000 0.5000
Ag 0.5158 0.7502 0.7476
Ag 0.6932 0.9510 0.3314
Ag 0.7300 0.7486 0.1581
Ag 0.7422 0.6932 0.6686
Ag 0.7486 0.0185 0.8419
Ag 0.7502 0.2344 0.2524
Ag 0.7656 0.5158 0.2524
Ag 0.9510 0.2578 0.6686
Ag 0.9815 0.7300 0.8419
Bi 0.0000 0.0000 0.5000
Bi 0.3333 0.6667 0.2294
Bi 0.6667 0.3333 0.7706
O 0.0763 0.1731 0.7070
O 0.0968 0.9237 0.7070
O 0.1591 0.4680 0.0608
O 0.1731 0.0968 0.2930
O 0.1831 0.6747 0.4445
O 0.3089 0.8409 0.0608
O 0.3253 0.5084 0.4445
O 0.4680 0.3089 0.9392
O 0.4916 0.8169 0.4445
O 0.5084 0.1831 0.5555
O 0.5320 0.6911 0.0608
O 0.6747 0.4916 0.5555
O 0.6911 0.1591 0.9392
O 0.8169 0.3253 0.5555
O 0.8269 0.9032 0.7070
O 0.8409 0.5320 0.9392
O 0.9032 0.0763 0.2930
O 0.9237 0.8269 0.2930

(9)
YZn2Ir | GGA-PBE | relaxed

## Properties
For the formation energy, the calculation gives -0.31 eV per atom. The crystal system is cubic.

abc: 4.6498 4.6498 4.6498
angles: 60.00 60.00 60.00
Fractional coordinates of all 4 atoms:
Y 0.0000 0.0000 0.0000
Zn 0.5000 0.5000 0.5000
Zn 0.7500 0.7500 0.7500
Ir 0.2500 0.2500 0.2500

(10)
GdTeAs | GGA-PBE | relaxed

## Properties
For the total energy, the calculation gives -4.741 eV/atom. The crystal system is hexagonal.

abc: 8.4588 8.4588 3.8695
angles: 90.00 90.00 120.00
Fractional coordinates of all 9 atoms:
Gd 0.0000 0.2929 0.0000
Gd 0.2929 0.0000 0.0000
Gd 0.7071 0.7071 0.0000
Te 0.0000 0.0000 0.5000
Te 0.3333 0.6667 0.0000
Te 0.6667 0.3333 0.0000
As 0.0000 0.5905 0.5000
As 0.4095 0.4095 0.5000
As 0.5905 0.0000 0.5000

(11)
Ac3Ag2Au4 | GGA-PBE | relaxed

## Properties
For the formation energy, the calculation gives -0.69 eV per atom. The crystal system is monoclinic.

abc: 6.2604 6.2604 9.2712
angles: 109.63 109.63 45.36
Fractional coordinates of all 9 atoms:
Ac 0.0000 0.0000 0.0000
Ac 0.3366 0.3366 0.3286
Ac 0.6634 0.6634 0.6714
Ag 0.3838 0.3838 0.7170
Ag 0.6162 0.6162 0.2830
Au 0.0608 0.0608 0.3917
Au 0.2805 0.2805 0.9437
Au 0.7195 0.7195 0.0563
Au 0.9392 0.9392 0.6083

(12)
Mg6In2Pd | GGA-PBE | relaxed

## Properties
For the total energy, the calculation gives -2.473 eV/atom. The crystal system is hexagonal.

abc: 8.1277 8.1277 3.3683
angles: 90.00 90.00 120.00
Fractional coordinates of all 9 atoms:
Mg 0.0000 0.3621 0.0000
Mg 0.0000 0.7399 0.5000
Mg 0.2601 0.2601 0.5000
Mg 0.3621 0.0000 0.0000
Mg 0.6379 0.6379 0.0000
Mg 0.7399 0.0000 0.5000
In 0.3333 0.6667 0.5000
In 0.6667 0.3333 0.5000
Pd 0.0000 0.0000 0.0000

(13)
DyAl | GGA-PBE | relaxed

## Properties
For the total energy, the calculation gives -3.599 eV/atom. The crystal system is hexagonal.

abc: 5.2383 5.2383 5.9483
angles: 90.00 90.00 120.00
Fractional coordinates of all 4 atoms:
Dy 0.3333 0.6667 0.2500
Dy 0.6667 0.3333 0.7500
Al 0.3333 0.6667 0.7500
Al 0.6667 0.3333 0.2500

(14)
PrHoCd2Cu4 | GGA-PBE | relaxed

## Properties
For the formation energy, the calculation gives -0.18 eV per atom. The crystal system is tetragonal.

abc: 4.7423 4.7423 6.6990
angles: 90.00 90.00 90.00
Fractional coordinates of all 8 atoms:
Pr 0.0000 0.0000 0.0000
Ho 0.5000 0.5000 0.5000
Cd 0.0000 0.0000 0.5000
Cd 0.5000 0.5000 0.0000
Cu 0.0000 0.5000 0.2648
Cu 0.0000 0.5000 0.7352
Cu 0.5000 0.0000 0.2648
Cu 0.5000 0.0000 0.7352

(15)
MgCdPtPb | GGA-PBE | relaxed

## Properties
The relative energy among the computed polymorphs comes out at 0.0000 eV per atom. The crystal system is cubic.

abc: 4.9109 4.9109 4.9109
angles: 60.00 60.00 60.00
Fractional coordinates of all 4 atoms:
Mg 0.0000 0.0000 0.0000
Cd 0.5000 0.5000 0.5000
Pt 0.2500 0.2500 0.2500
Pb 0.7500 0.7500 0.7500

(16)
KPuHf | GGA-PBE | relaxed

## Properties
The relative energy among the computed polymorphs comes out at 0.0000 eV per atom. The crystal system is cubic.

abc: 5.4326 5.4326 5.4326
angles: 60.00 60.00 60.00
Fractional coordinates of all 3 atoms:
K 0.0000 0.0000 0.0000
Pu 0.5000 0.5000 0.5000
Hf 0.2500 0.2500 0.2500

(17)
Ga2Ir2O5 | GGA-PBE | relaxed

## Properties
The relative energy among the computed polymorphs comes out at 0.0814 eV per atom. The crystal system is tetragonal.

abc: 3.9349 3.9349 6.9542
angles: 90.00 90.00 90.00
Fractional coordinates of all 9 atoms:
Ga 0.0000 0.0000 0.0000
Ga 0.0000 0.0000 0.5000
Ir 0.5000 0.5000 0.2008
Ir 0.5000 0.5000 0.7992
O 0.0000 0.5000 0.1738
O 0.0000 0.5000 0.8262
O 0.5000 0.0000 0.1738
O 0.5000 0.0000 0.8262
O 0.5000 0.5000 0.5000

(18)
MgNpNb | GGA-PBE | relaxed

## Properties
The relative energy among the computed polymorphs comes out at 0.0000 eV per atom. The crystal system is cubic.

abc: 4.6103 4.6103 4.6103
angles: 60.00 60.00 60.00
Fractional coordinates of all 3 atoms:
Mg 0.0000 0.0000 0.0000
Np 0.5000 0.5000 0.5000
Nb 0.2500 0.2500 0.2500

(19)
Pa3Al | GGA-PBE | relaxed

## Properties
The relative energy among the computed polymorphs comes out at 0.0722 eV per atom. The crystal system is hexagonal.

abc: 6.4363 6.4363 5.1581
angles: 90.00 90.00 120.00
Fractional coordinates of all 8 atoms:
Pa 0.1725 0.3450 0.2500
Pa 0.1725 0.8275 0.2500
Pa 0.3450 0.1725 0.7500
Pa 0.6550 0.8275 0.2500
Pa 0.8275 0.1725 0.7500
Pa 0.8275 0.6550 0.7500
Al 0.3333 0.6667 0.7500
Al 0.6667 0.3333 0.2500

(20)
AcAuO3 | GGA-PBE | relaxed

## Properties
For the total energy, the calculation gives -5.555 eV/atom. The crystal system is tetragonal.

abc: 4.5028 4.5028 4.6116
angles: 90.00 90.00 90.00
Fractional coordinates of all 5 atoms:
Ac 0.0000 0.0000 0.0000
Au 0.5000 0.5000 0.2659
O 0.0000 0.0000 0.5217
O 0.0000 0.5000 0.1840
O 0.5000 0.0000 0.1840

| no. | calculated volume (Å³ per cell) |
| --- | --- |
| 1 | 50.4 |
| 2 | 190.2 |
| 3 | 244.9 |
| 4 | 163.6 |
| 5 | 42.1 |
| 6 | 207.7 |
| 7 | 200.0 |
| 8 | 737.6 |
| 9 | 71.1 |
| 10 | 239.8 |
| 11 | 240.8 |
| 12 | 192.7 |
| 13 | 141.4 |
| 14 | 150.7 |
| 15 | 83.7 |
| 16 | 113.4 |
| 17 | 107.7 |
| 18 | 69.3 |
| 19 | 185.1 |
| 20 | 93.5 |